DFT (PBE) results for crystalline Na2GeTe5 at its relaxed geometry.

```
Na2GeTe5
1.0
5.278 -4.246 0.000
5.278 4.246 0.000
-3.836 0.000 5.296
Na Ge Te
2 1 5
Direct
0.000 0.000 0.000
0.002 0.002 0.502
0.483 0.483 0.690
0.016 0.504 0.510
0.482 0.482 0.237
0.504 0.016 0.510
0.504 0.987 0.998
0.987 0.504 0.998
```

Output
ΔE_f (raw) = -0.32 eV/atom
Spin magnetization = 0.000 μB/f.u.
D(E_F) = 2.218 states/eV/f.u.



DFT (PBE) results for crystalline NaGeTe3 at its relaxed geometry.

```
NaGeTe3
1.0
6.967 0.000 0.000
0.000 6.668 0.000
-2.332 0.000 7.141
Na Ge Te
2 2 6
Direct
0.081 0.250 0.392
0.919 0.750 0.608
0.368 0.750 0.008
0.632 0.250 0.992
0.002 0.250 0.969
0.398 0.519 0.709
0.398 0.981 0.709
0.602 0.019 0.291
0.602 0.481 0.291
0.998 0.750 0.031
```

Output
ΔE_f (raw) = -0.21 eV/atom
Spin magnetization = 0.000 μB/f.u.
D(E_F) = 2.586 states/eV/f.u.



DFT (PBE) results for crystalline NaGe2Te at its relaxed geometry.

```
NaGe2Te
1.0
5.232 0.000 0.000
2.501 5.310 0.000
2.361 0.983 8.103
Na Ge Te
2 4 2
Direct
0.000 0.000 0.000
0.414 0.513 0.705
0.062 0.436 0.318
0.371 0.924 0.287
0.586 0.418 0.280
0.800 0.919 0.400
0.193 0.138 0.606
0.702 0.633 0.961
```

Output
ΔE_f (raw) = -0.15 eV/atom
Spin magnetization = 0.000 μB/f.u.
D(E_F) = 1.012 states/eV/f.u.



DFT (PBE) results for crystalline NaGe2Te at its relaxed geometry.

```
NaGe2Te
1.0
4.232 0.000 0.000
-1.942 5.774 0.000
-1.358 -2.356 9.765
Na Ge Te
2 4 2
Direct
0.000 0.000 0.000
0.390 0.644 0.261
0.411 0.040 0.782
0.551 0.532 0.566
0.835 0.981 0.632
0.916 0.295 0.492
0.495 0.508 0.823
0.676 0.208 0.223
```

Output
ΔE_f (raw) = -0.20 eV/atom
Spin magnetization = 0.000 μB/f.u.
D(E_F) = 0.015 states/eV/f.u.